# Cd2HgPbN | Alexandria | PBE | optimized geometry
data_Cd2HgPbN
_chemical_formula_sum 'Cd2 Hg1 Pb1 N1'
_space_group_name_H-M_alt 'P 1'
_space_group_IT_number 1
_cell_length_a 4.562
_cell_length_b 4.562
_cell_length_c 5.591
_cell_angle_alpha 90.00
_cell_angle_beta 90.00
_cell_angle_gamma 90.00
loop_
_space_group_symop_operation_xyz
'x,y,z'
loop_
_atom_site_label
_atom_site_fract_x
_atom_site_fract_y
_atom_site_fract_z
Cd1 0.000 0.500 0.000
Cd2 0.500 0.000 0.000
Hg1 0.000 0.000 0.500
Pb1 0.500 0.500 0.500
N1 0.500 0.500 0.000
# SG: P4/mmm (123)

# Pr2CdHgN | Alexandria | PBE | optimized geometry
data_Pr2CdHgN
_chemical_formula_sum 'Pr4 Cd2 Hg2 N2'
_space_group_name_H-M_alt 'P 1'
_space_group_IT_number 1
_cell_length_a 4.078
_cell_length_b 4.078
_cell_length_c 14.292
_cell_angle_alpha 90.00
_cell_angle_beta 90.00
_cell_angle_gamma 90.00
loop_
_space_group_symop_operation_xyz
'x,y,z'
loop_
_atom_site_label
_atom_site_fract_x
_atom_site_fract_y
_atom_site_fract_z
Pr1 0.250 0.250 0.081
Pr2 0.250 0.250 0.750
Pr3 0.750 0.750 0.250
Pr4 0.750 0.750 0.919
Cd1 0.250 0.750 0.500
Cd2 0.750 0.250 0.500
Hg1 0.250 0.250 0.342
Hg2 0.750 0.750 0.658
N1 0.250 0.250 0.915
N2 0.750 0.750 0.085
# SG: P4/nmm (129)

# CdHgSN2 | Alexandria | PBE | optimized geometry
data_CdHgSN2
_chemical_formula_sum 'Cd1 Hg1 S1 N2'
_space_group_name_H-M_alt 'P 1'
_space_group_IT_number 1
_cell_length_a 4.255
_cell_length_b 4.255
_cell_length_c 5.731
_cell_angle_alpha 90.00
_cell_angle_beta 90.00
_cell_angle_gamma 90.00
loop_
_space_group_symop_operation_xyz
'x,y,z'
loop_
_atom_site_label
_atom_site_fract_x
_atom_site_fract_y
_atom_site_fract_z
Cd1 0.000 0.000 0.000
Hg1 0.500 0.500 0.500
S1 0.000 0.000 0.500
N1 0.000 0.500 0.000
N2 0.500 0.000 0.000
# SG: P4/mmm (123)
# Excess energy over the best structure of this formula in the dataset in meV/atom: 0

# CdHgS2N | Alexandria | PBE | optimized geometry
data_CdHgS2N
_chemical_formula_sum 'Cd1 Hg1 S2 N1'
_space_group_name_H-M_alt 'P 1'
_space_group_IT_number 1
_cell_length_a 5.143
_cell_length_b 5.143
_cell_length_c 4.226
_cell_angle_alpha 90.00
_cell_angle_beta 90.00
_cell_angle_gamma 90.00
loop_
_space_group_symop_operation_xyz
'x,y,z'
loop_
_atom_site_label
_atom_site_fract_x
_atom_site_fract_y
_atom_site_fract_z
Cd1 0.000 0.000 0.000
Hg1 0.500 0.500 0.500
S1 0.000 0.500 0.000
S2 0.500 0.000 0.000
N1 0.000 0.000 0.500
# SG: P4/mmm (123)

Number 1: ΔE_f (raw) 0.40 eV/atom. Number 2: ΔE_f (raw) -0.61 eV/atom. Number 3: ΔE_f (raw) 1.65 eV/atom. Number 4: ΔE_f (raw) 1.14 eV/atom.